Entry 1:
DFT (PBE) results for an optimized crystal structure of KTc2Cl.

Properties
Total DFT energy (no corrections) in eV/atom: -5.258
N(E_F) in states/eV/atom: 1.1340
ΔE_f (raw) in eV per atom: 0.6608

Lattice parameters (Å, degrees): 2.8492 4.5459 11.6441 90.00 90.00 90.00
Space group Immm (No. 71)
Symmetry-distinct sites (fractional):
K: 0.0000 0.0000 0.0000 [2 per cell]
Tc: 0.0000 0.5000 0.2152 [4 per cell]
Cl: 0.0000 0.0000 0.5000 [2 per cell]

=====

Entry 2:
DFT (PBE) results for an optimized crystal structure of ScTi2As.

Properties
Total DFT energy (no corrections) in eV/atom: -6.863
Formation enthalpy at 0 K in meV/atom: -170
N(E_F) in states/eV/atom: 0.5867

Lattice parameters (Å, degrees): 7.6393 7.6393 5.3601 90.00 90.00 90.00
Space group I-42d (No. 122)
Symmetry-distinct sites (fractional):
Sc: 0.0000 0.0000 0.0000 [4 per cell]
Ti: 0.2000 0.7500 0.6250 [8 per cell]
As: 0.0000 0.0000 0.5000 [4 per cell]

=====

Entry 3:
DFT (PBE) results for an optimized crystal structure of Mn2Tl3Cl9.

Properties
Total DFT energy (no corrections) in eV/atom: -3.992
N(E_F) in states/eV/atom: 0.5195
ΔE_f (raw) in eV per atom: -0.9880

Lattice parameters (Å, degrees): 11.9648 11.9648 18.5081 90.00 90.00 120.00
Space group R-3c (No. 167, hexagonal axes)
Symmetry-distinct sites (fractional):
Mn: 0.0000 0.0000 0.1624 [12 per cell]
Tl: 0.0000 0.3372 0.2500 [18 per cell]
Cl: 0.0000 0.1573 0.7500 [18 per cell]
Cl: 0.0001 0.1664 0.0990 [36 per cell]

=====

Entry 4:
DFT (PBE) results for an optimized crystal structure of In3GaB.

Properties
Total DFT energy (no corrections) in eV/atom: -3.053
Formation enthalpy at 0 K in meV/atom: 531
N(E_F) in states/eV/atom: 0.4942

Lattice parameters (Å, degrees): 4.8550 4.8550 4.8550 90.00 90.00 90.00
Space group Pm-3m (No. 221)
Symmetry-distinct sites (fractional):
In: 0.0000 0.0000 0.5000 [3 per cell]
Ga: 0.5000 0.5000 0.5000 [1 per cell]
B: 0.0000 0.0000 0.0000 [1 per cell]

=====

Entry 5:
DFT (PBE) results for an optimized crystal structure of CeTm8Sn6.

Properties
Total DFT energy (no corrections) in eV/atom: -4.861
Formation enthalpy at 0 K in meV/atom: -479
N(E_F) in states/eV/atom: 1.0217

Lattice parameters (Å, degrees): 8.9633 8.9633 19.2989 90.00 90.00 120.00
Space group R-3 (No. 148, hexagonal axes)
Symmetry-distinct sites (fractional):
Ce: 0.0000 0.0000 0.0000 [3 per cell]
Tm: 0.0000 0.0000 0.3328 [6 per cell]
Tm: 0.0013 0.3287 0.1065 [18 per cell]
Sn: 0.0004 0.3414 0.9323 [18 per cell]

=====

Entry 6:
DFT (PBE) results for an optimized crystal structure of BeV2HgS.

Properties
Total DFT energy (no corrections) in eV/atom: -4.007
N(E_F) in states/eV/atom: 1.0423
ΔE_f (raw) in eV per atom: 1.2710

Lattice parameters (Å, degrees): 5.0807 5.0807 4.2400 90.00 90.00 90.00
Space group P4/mmm (No. 123)
Symmetry-distinct sites (fractional):
Be: 0.0000 0.0000 0.0000 [1 per cell]
V: 0.0000 0.5000 0.5000 [2 per cell]
Hg: 0.0000 0.0000 0.5000 [1 per cell]
S: 0.5000 0.5000 0.0000 [1 per cell]